Entry 1:
Below is crystalline ReTcHRh2 at its relaxed geometry, with properties calculated at the GGA-PBE level.

Space group ... P4/mmm, No. 123
Relative energy among the computed polymorphs ... 0.000 eV/atom
Energy ... -8.171 eV/atom

a = 3.8407 Å, b = 3.8407 Å, c = 4.0419 Å
α = 90.00°, β = 90.00°, γ = 90.00°
Sites, in units of the cell vectors:
Re 0.0000 0.0000 0.0000
Tc 0.5000 0.5000 0.0000
H 0.5000 0.5000 0.5000
Rh 0.0000 0.5000 0.5000
Rh 0.5000 0.0000 0.5000

Entry 2:
Below is crystalline Cd2AgCl at its relaxed geometry, with properties calculated at the GGA-PBE level.

Space group ... P4mm, No. 99
E_form (uncorrected) ... -148 meV/atom
Relative energy among the computed polymorphs ... 0.115 eV/atom
Energy ... -1.780 eV/atom

a = 3.2671 Å, b = 3.2671 Å, c = 8.0947 Å
α = 90.00°, β = 90.00°, γ = 90.00°
Sites, in units of the cell vectors:
Cd 0.0000 0.0000 0.0000
Cd 0.5000 0.5000 0.2715
Ag 0.5000 0.5000 0.7708
Cl 0.0000 0.0000 0.5182

Entry 3:
Below is crystalline Ba2AuCl at its relaxed geometry, with properties calculated at the GGA-PBE level.

Space group ... P2/m, No. 10
E_form (uncorrected) ... -1202 meV/atom
Relative energy among the computed polymorphs ... 0.087 eV/atom
Energy ... -3.444 eV/atom

a = 4.1637 Å, b = 4.0787 Å, c = 8.8187 Å
α = 90.00°, β = 90.29°, γ = 90.00°
Sites, in units of the cell vectors:
Ba 0.0029 0.0000 0.2183
Ba 0.9971 0.0000 0.7817
Au 0.5000 0.5000 0.0000
Cl 0.0000 0.5000 0.5000